1.
CsZnCo2Br8 | PBE | relaxed

## Properties
Calculated volume   395.0 Å³ per cell
E_form (uncorrected)   -651.0 meV/atom
Total energy   -37.53 eV per formula unit

Cell lengths 10.8281, 10.8281, 10.8281 Å; angles 36.14, 36.14, 36.14 degrees
Last column: nearest neighbours and their distance in Å.
Atoms (fractional coordinates):
Cs (0.0000, 0.0000, 0.0000)  12 Br 3.91-4.17
Zn (0.5000, 0.5000, 0.5000)  6 Br 2.66
Co (0.2410, 0.2410, 0.2410)  4 Br 2.33-2.37
Co (0.7590, 0.7590, 0.7590)  4 Br 2.33-2.37
Br (0.1265, 0.4505, 0.7680)  1 Co 2.37
Br (0.2320, 0.8735, 0.5495)  1 Co 2.37
Br (0.3179, 0.3179, 0.3179)  1 Co 2.33
Br (0.4505, 0.7680, 0.1265)  1 Co 2.37
Br (0.5495, 0.2320, 0.8735)  1 Co 2.37
Br (0.6821, 0.6821, 0.6821)  1 Co 2.33
Br (0.7680, 0.1265, 0.4505)  1 Co 2.37
Br (0.8735, 0.5495, 0.2320)  1 Co 2.37

---

2.
Ba3Cl | PBE | relaxed

## Properties
Calculated volume   1100.2 Å³ per cell
E_form (uncorrected)   -600.3 meV/atom
Total energy   -10.02 eV per formula unit
Polymorph energy (0 for the lowest one)   251.3 meV/atom

Cell lengths 8.9624, 16.1585, 7.5971 Å; angles 90.00, 90.00, 90.00 degrees
Last column: nearest neighbours and their distance in Å.
Atoms (fractional coordinates):
Ba (0.0000, 0.0767, 0.2500)  10 Ba 4.54-4.68, 2 Cl 4.93
Ba (0.0000, 0.9233, 0.7500)  10 Ba 4.54-4.68, 2 Cl 4.93
Ba (0.2487, 0.3314, 0.2500)  1 Cl 2.94
Ba (0.2487, 0.6686, 0.7500)  1 Cl 2.94
Ba (0.2513, 0.1686, 0.7500)  1 Cl 2.94
Ba (0.2513, 0.8314, 0.2500)  1 Cl 2.94
Ba (0.5000, 0.4233, 0.7500)  10 Ba 4.54-4.68, 2 Cl 4.93
Ba (0.5000, 0.5767, 0.2500)  10 Ba 4.54-4.68, 2 Cl 4.93
Ba (0.7487, 0.1686, 0.7500)  1 Cl 2.94
Ba (0.7487, 0.8314, 0.2500)  1 Cl 2.94
Ba (0.7513, 0.3314, 0.2500)  1 Cl 2.94
Ba (0.7513, 0.6686, 0.7500)  1 Cl 2.94
Cl (0.0000, 0.4501, 0.2500)  2 Ba 2.94
Cl (0.0000, 0.5499, 0.7500)  2 Ba 2.94
Cl (0.5000, 0.0499, 0.7500)  2 Ba 2.94
Cl (0.5000, 0.9501, 0.2500)  2 Ba 2.94

---

3.
YNbIO2 | PBE | relaxed

## Properties
Calculated volume   97.3 Å³ per cell
E_form (uncorrected)   -1153.2 meV/atom
Total energy   -33.77 eV per formula unit
Polymorph energy (0 for the lowest one)   0.0 meV/atom

Cell lengths 4.1276, 4.1276, 5.7133 Å; angles 90.00, 90.00, 90.00 degrees
Last column: nearest neighbours and their distance in Å.
Atoms (fractional coordinates):
Y (0.0000, 0.0000, 0.0000)  4 I 2.92
Nb (0.5000, 0.5000, 0.5000)  4 O 2.06
I (0.5000, 0.5000, 0.0000)  2 Nb 2.86, 4 Y 2.92
O (0.0000, 0.5000, 0.5000)  2 Nb 2.06
O (0.5000, 0.0000, 0.5000)  2 Nb 2.06

---

4.
Dy6Er2Cd | PBE | relaxed

## Properties
Calculated volume   553.2 Å³ per cell
Total energy   -37.07 eV per formula unit
Polymorph energy (0 for the lowest one)   79.2 meV/atom
Formation energy   0.0654 eV/atom

Cell lengths 11.5464, 11.5464, 5.7613 Å; angles 103.84, 103.84, 48.28 degrees
Last column: nearest neighbours and their distance in Å.
Atoms (fractional coordinates):
Dy (0.0700, 0.8243, 0.9430)  6 Dy 3.16-3.54, 1 Er 3.45, 1 Cd 3.47
Dy (0.0766, 0.6644, 0.3540)  6 Dy 3.29-3.62, 4 Er 3.43-3.62, 1 Cd 3.66
Dy (0.1757, 0.9300, 0.5570)  6 Dy 3.16-3.54, 1 Er 3.45, 1 Cd 3.47
Dy (0.2801, 0.4341, 0.8262)  5 Dy 3.23-3.51, 2 Er 3.28-3.32, 2 Cd 3.35-3.43
Dy (0.3356, 0.9234, 0.1460)  6 Dy 3.29-3.62, 4 Er 3.43-3.62, 1 Cd 3.66
Dy (0.4341, 0.2801, 0.3262)  5 Dy 3.23-3.51, 2 Er 3.28-3.32, 2 Cd 3.35-3.43
Dy (0.5659, 0.7199, 0.6738)  5 Dy 3.23-3.51, 2 Er 3.28-3.32, 2 Cd 3.35-3.43
Dy (0.6644, 0.0766, 0.8540)  6 Dy 3.29-3.62, 4 Er 3.43-3.62, 1 Cd 3.66
Dy (0.7199, 0.5659, 0.1738)  5 Dy 3.23-3.51, 2 Er 3.28-3.32, 2 Cd 3.35-3.43
Dy (0.8243, 0.0700, 0.4430)  6 Dy 3.16-3.54, 1 Er 3.45, 1 Cd 3.47
Dy (0.9234, 0.3356, 0.6460)  6 Dy 3.29-3.62, 4 Er 3.43-3.62, 1 Cd 3.66
Dy (0.9300, 0.1757, 0.0570)  6 Dy 3.16-3.54, 1 Er 3.45, 1 Cd 3.47
Er (0.1016, 0.3430, 0.2337)  7 Dy 3.28-3.62, 2 Er 3.67
Er (0.3430, 0.1016, 0.7337)  7 Dy 3.28-3.62, 2 Er 3.67
Er (0.6570, 0.8984, 0.2663)  7 Dy 3.28-3.62, 2 Er 3.67
Er (0.8984, 0.6570, 0.7663)  7 Dy 3.28-3.62, 2 Er 3.67
Cd (0.4357, 0.5643, 0.2500)  2 Cd 3.13, 6 Dy 3.35-3.47
Cd (0.5643, 0.4357, 0.7500)  2 Cd 3.13, 6 Dy 3.35-3.47